No. 1
Crystalline SrY2CdCo at its relaxed geometry, computed with PBE.

extended XYZ file:
```
5
Lattice="-2.6146 1.7307 4.1237 -2.8479 -4.3273 0.0104 3.5471 -2.3267 3.2254" Properties=species:S:1:pos:R:3 pbc="T T T"
Cd 1.7735 -1.1633 1.6127
Co 0.0000 0.0000 0.0000
Y -1.3073 0.8653 2.0619
Y -1.4240 -2.1637 0.0052
Sr -0.9577 -2.4617 3.6798
```

Output
total DFT energy (no corrections)	-22.941	eV per cell
space-group type	No. 123
ΔH_f (0 K)	-62	meV/atom

---

No. 2
Crystalline SrZnCd2Co at its relaxed geometry, computed with PBE.

extended XYZ file:
```
5
Lattice="5.0282 0.0000 0.0000 0.0000 5.0282 0.0000 0.0000 0.0000 4.7183" Properties=species:S:1:pos:R:3 pbc="T T T"
Co 0.0000 0.0000 0.0000
Cd 2.5141 0.0000 0.0000
Cd 0.0000 2.5141 0.0000
Sr 2.5141 2.5141 2.3592
Zn 0.0000 0.0000 2.3592
```

Output
total DFT energy (no corrections)	-12.038	eV per cell
space-group type	No. 123
ΔH_f (0 K)	-29	meV/atom

---

No. 3
Crystalline Sr2ZnCdCo at its relaxed geometry, computed with PBE.

extended XYZ file:
```
5
Lattice="5.6474 0.0000 0.0000 0.0000 4.6461 0.0000 0.0000 0.0000 5.6474" Properties=species:S:1:pos:R:3 pbc="T T T"
Cd 2.8237 2.3230 2.8237
Sr 2.8237 0.0000 0.0000
Sr 0.0000 0.0000 2.8237
Co 0.0000 0.0000 0.0000
Zn 0.0000 2.3230 0.0000
```

Output
total DFT energy (no corrections)	-12.167	eV per cell
space-group type	No. 123
ΔH_f (0 K)	98	meV/atom

---

No. 4
Crystalline Ta2CdCo at its relaxed geometry, computed with PBE.

extended XYZ file:
```
4
Lattice="-0.2811 -5.9631 7.4599 2.4264 -6.4790 6.5896 1.8731 -4.2529 8.3482" Properties=species:S:1:pos:R:3 pbc="T T T"
Co 3.0138 -12.5213 16.7982
Ta 1.9669 -8.1718 10.9631
Ta 0.0423 -0.1757 0.2358
Cd 1.0046 -4.1738 5.5994
```

Output
total DFT energy (no corrections)	-30.684	eV per cell
space-group type	No. 166
ΔH_f (0 K)	260	meV/atom

---

No. 5
Crystalline TaCdCo2 at its relaxed geometry, computed with PBE.

extended XYZ file:
```
8
Lattice="6.7553 0.0000 0.0000 0.0000 6.7553 0.0000 3.3776 3.3776 2.8145" Properties=species:S:1:pos:R:3 pbc="T T T"
Ta 0.0000 0.0000 0.0000
Ta 6.7553 3.3776 1.4073
Co 8.4441 8.6424 2.1109
Co 5.0664 4.8681 2.1109
Co 1.4904 5.0664 0.7036
Co 5.2648 1.6888 0.7036
Cd 3.3776 3.3776 0.0000
Cd 3.3776 6.7553 1.4073
```

Output
total DFT energy (no corrections)	-49.655	eV per cell
space-group type	No. 122
ΔH_f (0 K)	538	meV/atom

---

No. 6
Crystalline TaCdCo2 at its relaxed geometry, computed with PBE.

extended XYZ file:
```
4
Lattice="-2.9191 2.7728 1.8167 -4.3105 0.3865 0.8835 -0.1974 -1.7909 4.8738" Properties=species:S:1:pos:R:3 pbc="T T T"
Co -3.6609 0.5704 3.9997
Co -0.2499 -1.6771 4.6611
Ta -5.5702 1.0263 5.6805
Cd -1.8567 0.3421 1.8935
```

Output
total DFT energy (no corrections)	-25.985	eV per cell
space-group type	No. 12
ΔH_f (0 K)	249	meV/atom

---

No. 7
Crystalline TaCdCo2 at its relaxed geometry, computed with PBE.

extended XYZ file:
```
4
Lattice="9.1189 0.0006 0.0004 8.6869 2.7733 0.0004 8.6869 1.3533 2.4207" Properties=species:S:1:pos:R:3 pbc="T T T"
Ta 13.4982 2.1029 1.2337
Co 26.2427 4.0884 2.3986
Co 6.8138 1.0615 0.6228
Cd 19.6771 3.0655 1.7985
```

Output
total DFT energy (no corrections)	-25.663	eV per cell
space-group type	No. 160
ΔH_f (0 K)	329	meV/atom

---

No. 8
Crystalline Ta2CdCo at its relaxed geometry, computed with PBE.

extended XYZ file:
```
4
Lattice="-0.9878 6.0058 1.6088 -2.3003 -1.9262 -4.0119 -2.5290 0.6302 1.1497" Properties=species:S:1:pos:R:3 pbc="T T T"
Ta -1.7584 3.3180 1.3792
Ta 0.0000 0.0000 0.0000
Co -1.6440 2.0398 -1.2016
Cd -2.4147 -0.6480 -1.4311
```

Output
total DFT energy (no corrections)	-30.504	eV per cell
space-group type	No. 65
ΔH_f (0 K)	306	meV/atom

---

No. 9
Crystalline Ta2CdCo at its relaxed geometry, computed with PBE.

extended XYZ file:
```
4
Lattice="3.9995 0.0000 0.0000 0.0000 2.8505 -0.0062 0.0000 2.1944 5.8212" Properties=species:S:1:pos:R:3 pbc="T T T"
Co 1.9998 3.7837 4.3613
Ta 0.0000 2.6484 3.0703
Ta 0.0000 4.9190 5.6522
Cd 1.9998 1.2612 1.4538
```

Output
total DFT energy (no corrections)	-30.857	eV per cell
space-group type	No. 10
ΔH_f (0 K)	217	meV/atom

---

No. 10
Crystalline Ta2CdCo at its relaxed geometry, computed with PBE.

extended XYZ file:
```
4
Lattice="-4.4722 -2.3322 1.7436 -2.3947 -4.6816 0.9100 0.1427 -1.3821 4.2508" Properties=species:S:1:pos:R:3 pbc="T T T"
Co -5.0432 -6.2969 5.1783
Cd -1.6811 -2.0990 1.7261
Ta 0.0009 -1.4959 4.2185
Ta -3.2204 -4.0841 3.4846
```

Output
total DFT energy (no corrections)	-30.850	eV per cell
space-group type	No. 71
ΔH_f (0 K)	219	meV/atom

---

No. 11
Crystalline Ta2CdCo2 at its relaxed geometry, computed with PBE.

extended XYZ file:
```
10
Lattice="7.1487 0.0000 0.0000 0.0000 7.1487 0.0000 0.0000 0.0000 2.9983" Properties=species:S:1:pos:R:3 pbc="T T T"
Ta 2.4013 1.1730 1.4992
Ta 5.9756 2.4013 1.4992
Ta 1.1730 4.7474 1.4992
Ta 4.7474 5.9756 1.4992
Cd 3.5743 3.5743 0.0000
Cd 0.0000 0.0000 0.0000
Co 0.9132 2.6611 0.0000
Co 6.2354 4.4876 0.0000
Co 4.4876 0.9132 0.0000
Co 2.6611 6.2354 0.0000
```

Output
total DFT energy (no corrections)	-78.432	eV per cell
space-group type	No. 127
ΔH_f (0 K)	-77	meV/atom
relative energy among the computed polymorphs	0.000	eV per atom

---

No. 12
Crystalline TaCdCo2 at its relaxed geometry, computed with PBE.

extended XYZ file:
```
4
Lattice="2.8082 -0.0134 0.0000 0.0119 2.8082 0.0000 0.0000 0.0000 7.6072" Properties=species:S:1:pos:R:3 pbc="T T T"
Co 0.0000 0.0000 0.3180
Co 1.4100 1.3974 1.6603
Ta 0.0000 0.0000 3.5101
Cd 1.4100 1.3974 5.9223
```

Output
total DFT energy (no corrections)	-26.260	eV per cell
space-group type	No. 99
ΔH_f (0 K)	180	meV/atom

---

No. 13
Crystalline Ta2CdCo at its relaxed geometry, computed with PBE.

extended XYZ file:
```
4
Lattice="2.9095 0.0120 0.0000 -0.0124 2.9095 0.0000 0.0000 0.0000 7.9812" Properties=species:S:1:pos:R:3 pbc="T T T"
Ta 1.4486 1.4608 1.9069
Ta 0.0000 0.0000 7.6474
Cd 0.0000 0.0000 4.2413
Co 1.4486 1.4608 6.1574
```

Output
total DFT energy (no corrections)	-31.325	eV per cell
space-group type	No. 99
ΔH_f (0 K)	100	meV/atom

---

No. 14
Crystalline Ta2CdCo at its relaxed geometry, computed with PBE.

extended XYZ file:
```
4
Lattice="8.9629 -0.0248 -0.0146 8.4576 2.9670 -0.0146 8.4576 1.4284 2.6006" Properties=species:S:1:pos:R:3 pbc="T T T"
Ta 6.6084 1.1161 0.6566
Ta 0.2473 0.0418 0.0246
Cd 12.7465 2.1528 1.2666
Co 19.2151 3.2453 1.9093
```

Output
total DFT energy (no corrections)	-30.755	eV per cell
space-group type	No. 160
ΔH_f (0 K)	243	meV/atom

---

No. 15
Crystalline Ta2CdCo at its relaxed geometry, computed with PBE.

extended XYZ file:
```
4
Lattice="5.0323 -0.0298 0.0000 1.8779 4.6688 0.0000 -3.4551 -2.3195 2.8296" Properties=species:S:1:pos:R:3 pbc="T T T"
Ta 3.4551 2.3195 0.0000
Ta 0.0000 0.0000 0.0000
Co 2.5161 -0.0149 1.4148
Cd 0.9389 2.3344 1.4148
```

Output
total DFT energy (no corrections)	-30.573	eV per cell
space-group type	No. 139
ΔH_f (0 K)	288	meV/atom

---

No. 16
Crystalline Ta2CdCo2 at its relaxed geometry, computed with PBE.

extended XYZ file:
```
10
Lattice="7.6195 0.0000 0.0000 0.0000 7.6195 0.0000 0.0000 0.0000 2.7532" Properties=species:S:1:pos:R:3 pbc="T T T"
Ta 4.9000 1.0903 0.0000
Ta 2.7195 6.5292 0.0000
Ta 6.5292 4.9000 0.0000
Ta 1.0903 2.7195 0.0000
Co 6.5099 2.7001 1.3766
Co 2.7001 1.1096 1.3766
Co 4.9194 6.5099 1.3766
Co 1.1096 4.9194 1.3766
Cd 0.0000 0.0000 0.0000
Cd 3.8098 3.8098 0.0000
```

Output
total DFT energy (no corrections)	-75.939	eV per cell
space-group type	No. 127
ΔH_f (0 K)	173	meV/atom
relative energy among the computed polymorphs	0.249	eV per atom

---

No. 17
Crystalline TaCd2Co2 at its relaxed geometry, computed with PBE.

extended XYZ file:
```
5
Lattice="3.1247 0.0000 0.0000 0.0000 3.1247 0.0000 1.5624 1.5624 8.9617" Properties=species:S:1:pos:R:3 pbc="T T T"
Co 1.5624 3.1247 4.4809
Co 3.1247 1.5624 4.4809
Cd 3.1247 3.1247 6.8355
Cd 1.5624 1.5624 2.1262
Ta 0.0000 0.0000 0.0000
```

Output
total DFT energy (no corrections)	-25.099	eV per cell
space-group type	No. 139
ΔH_f (0 K)	559	meV/atom
relative energy among the computed polymorphs	0.295	eV per atom

---

No. 18
Crystalline TaCdCo2 at its relaxed geometry, computed with PBE.

extended XYZ file:
```
4
Lattice="3.9203 0.0000 0.0000 0.0000 3.2076 -0.0087 0.0000 1.6183 4.7903" Properties=species:S:1:pos:R:3 pbc="T T T"
Co 1.9602 0.6052 1.3539
Co 0.0000 2.2200 4.7801
Cd 1.9602 3.8210 3.9167
Ta 0.0000 2.2109 1.9122
```

Output
total DFT energy (no corrections)	-26.246	eV per cell
space-group type	No. 38
ΔH_f (0 K)	183	meV/atom

---

No. 19
Crystalline TaCdCo2 at its relaxed geometry, computed with PBE.

extended XYZ file:
```
4
Lattice="6.8423 -0.0177 -0.0418 -2.7116 3.3543 0.0966 1.4191 1.0743 2.5332" Properties=species:S:1:pos:R:3 pbc="T T T"
Ta -0.6463 2.2143 1.3149
Cd 2.0653 1.6683 0.0274
Co 0.0000 0.0000 0.0000
Co 4.1307 0.5283 1.2457
```

Output
total DFT energy (no corrections)	-26.475	eV per cell
space-group type	No. 123
ΔH_f (0 K)	126	meV/atom

---

No. 20
Crystalline TaCdCo4 at its relaxed geometry, computed with PBE.

extended XYZ file:
```
6
Lattice="0.0000 3.3898 3.3898 3.3898 0.0000 3.3898 3.3898 3.3898 0.0000" Properties=species:S:1:pos:R:3 pbc="T T T"
Co 4.2369 2.5426 4.2369
Co 2.5426 2.5426 2.5426
Co 4.2369 4.2369 2.5426
Co 2.5426 4.2369 4.2369
Ta 5.0846 5.0846 5.0846
Cd 0.0000 0.0000 0.0000
```

Output
total DFT energy (no corrections)	-41.231	eV per cell
space-group type	No. 216
ΔH_f (0 K)	-7	meV/atom